No. 1
Below is a relaxed TcAg2Te crystal, with properties calculated at the GGA-PBE level.

The structure in extended XYZ format:
```
4
Lattice="4.795 -1.647 0.000 4.795 1.647 0.000 -2.231 0.000 4.914" Properties=species:S:1:pos:R:3 pbc="T T T"
Tc 0.000 0.000 0.000
Ag 1.232 0.000 2.889
Ag 3.860 0.000 2.234
Te 6.819 0.000 0.173
```

Summary:
total DFT energy (no corrections): -4.403 eV/atom

***

No. 2
Below is a relaxed TcAgTe2 crystal, with properties calculated at the GGA-PBE level.

The structure in extended XYZ format:
```
4
Lattice="4.461 0.000 0.000 0.000 3.486 0.000 -0.068 0.000 5.798" Properties=species:S:1:pos:R:3 pbc="T T T"
Tc 0.000 0.000 0.000
Ag 2.196 1.743 2.899
Te -0.034 0.000 2.899
Te 2.230 1.743 0.000
```

Summary:
offset from the most stable computed form: 0.2868 eV per atom

***

No. 3
Below is a relaxed TcAgTe2 crystal, with properties calculated at the GGA-PBE level.

The structure in extended XYZ format:
```
4
Lattice="1.903 1.099 8.585 -1.903 1.099 8.585 0.000 -2.197 8.585" Properties=species:S:1:pos:R:3 pbc="T T T"
Tc 0.000 0.000 0.000
Ag 0.000 0.000 12.877
Te 0.000 0.000 10.173
Te 0.000 0.000 15.581
```

Summary:
offset from the most stable computed form: 0.0000 eV per atom

***

No. 4
Below is a relaxed TcAg2Te crystal, with properties calculated at the GGA-PBE level.

The structure in extended XYZ format:
```
4
Lattice="1.617 -2.525 0.000 1.617 2.525 0.000 0.000 0.000 10.008" Properties=species:S:1:pos:R:3 pbc="T T T"
Tc 0.000 0.000 0.000
Ag 0.000 0.000 5.333
Ag 1.617 0.000 7.672
Te 1.617 0.000 2.077
```

Summary:
total DFT energy (no corrections): -4.276 eV/atom

***

No. 5
Below is a relaxed TcAg3Te crystal, with properties calculated at the GGA-PBE level.

The structure in extended XYZ format:
```
5
Lattice="5.141 0.000 0.000 0.000 5.141 0.000 0.000 0.000 5.141" Properties=species:S:1:pos:R:3 pbc="T T T"
Tc 0.000 0.000 0.000
Ag 0.000 0.000 2.570
Ag 0.000 2.570 0.000
Ag 2.570 0.000 0.000
Te 2.570 2.570 2.570
```

Summary:
offset from the most stable computed form: 0.0000 eV per atom

***

No. 6
Below is a relaxed TcAgTe2 crystal, with properties calculated at the GGA-PBE level.

The structure in extended XYZ format:
```
4
Lattice="-1.655 1.701 8.115 1.655 -1.701 8.115 1.655 1.701 -8.115" Properties=species:S:1:pos:R:3 pbc="T T T"
Tc 0.000 0.000 0.000
Ag 0.000 1.701 4.173
Te 1.655 0.000 2.118
Te 0.000 0.000 6.743
```

Summary:
offset from the most stable computed form: 0.0519 eV per atom

***

No. 7
Below is a relaxed TcAg2Te crystal, with properties calculated at the GGA-PBE level.

The structure in extended XYZ format:
```
4
Lattice="2.904 0.000 0.000 0.000 2.904 0.000 0.000 0.000 9.684" Properties=species:S:1:pos:R:3 pbc="T T T"
Tc 0.000 0.000 0.000
Ag 1.452 1.452 2.033
Ag 1.452 1.452 7.651
Te 0.000 0.000 4.842
```

Summary:
total DFT energy (no corrections): -4.196 eV/atom

***

No. 8
Below is a relaxed TcAgTe2 crystal, with properties calculated at the GGA-PBE level.

The structure in extended XYZ format:
```
4
Lattice="1.536 0.887 11.416 -1.536 0.887 11.416 0.000 -1.774 11.416" Properties=species:S:1:pos:R:3 pbc="T T T"
Tc 0.000 0.000 0.000
Ag 0.000 0.000 17.124
Te 0.000 0.000 2.636
Te 0.000 0.000 31.611
```

Summary:
offset from the most stable computed form: 0.5443 eV per atom

***

No. 9
Below is a relaxed TcAg2Te crystal, with properties calculated at the GGA-PBE level.

The structure in extended XYZ format:
```
8
Lattice="-3.949 3.949 2.687 3.949 -3.949 2.687 3.949 3.949 -2.687" Properties=species:S:1:pos:R:3 pbc="T T T"
Tc 0.000 0.000 0.000
Tc 0.000 3.949 1.344
Ag 5.923 1.949 -0.672
Ag 1.949 1.974 0.672
Ag -1.974 2.000 2.015
Ag 2.000 1.974 3.359
Te 3.949 0.000 1.344
Te 0.000 0.000 2.687
```

Summary:
total DFT energy (no corrections): -4.142 eV/atom

***

No. 10
Below is a relaxed TcAg2Te crystal, with properties calculated at the GGA-PBE level.

The structure in extended XYZ format:
```
4
Lattice="1.499 0.865 10.331 -1.499 0.865 10.331 0.000 -1.731 10.331" Properties=species:S:1:pos:R:3 pbc="T T T"
Tc 0.000 0.000 0.000
Ag 0.000 0.000 8.032
Ag 0.000 0.000 22.960
Te 0.000 0.000 15.496
```

Summary:
total DFT energy (no corrections): -4.199 eV/atom

***

No. 11
Below is a relaxed Ti2TcAgTe crystal, with properties calculated at the GGA-PBE level.

The structure in extended XYZ format:
```
5
Lattice="4.995 0.000 0.000 0.000 4.995 0.000 0.000 0.000 4.970" Properties=species:S:1:pos:R:3 pbc="T T T"
Ti 0.000 2.498 0.000
Ti 2.498 0.000 0.000
Tc 0.000 0.000 2.485
Ag 2.498 2.498 2.485
Te 2.498 2.498 0.000
```

Summary:
total DFT energy (no corrections): -5.153 eV/atom

***

No. 12
Below is a relaxed YTc2AgTe crystal, with properties calculated at the GGA-PBE level.

The structure in extended XYZ format:
```
5
Lattice="4.884 0.000 0.000 0.000 4.884 0.000 0.000 0.000 5.563" Properties=species:S:1:pos:R:3 pbc="T T T"
Y 0.000 0.000 0.000
Tc 0.000 2.442 2.781
Tc 2.442 0.000 2.781
Ag 2.442 2.442 0.000
Te 0.000 0.000 2.781
```

Summary:
total DFT energy (no corrections): -5.504 eV/atom